No. 1
# Cr3AgPd | Alexandria via LeMat-Bulk | GGA-PBE | optimized geometry
data_Cr3AgPd
_cell_length_a 4.8464
_cell_length_b 4.8464
_cell_length_c 4.8464
_cell_angle_alpha 90.00
_cell_angle_beta 90.00
_cell_angle_gamma 90.00
_symmetry_space_group_name_H-M 'P 1'
_symmetry_Int_Tables_number 1
loop_
_symmetry_equiv_pos_as_xyz
'x,y,z'
loop_
_atom_site_label
_atom_site_fract_x
_atom_site_fract_y
_atom_site_fract_z
Cr1 0.0000 0.0000 0.5000
Cr2 0.0000 0.5000 0.0000
Cr3 0.5000 0.0000 0.0000
Ag1 0.5000 0.5000 0.5000
Pd1 0.0000 0.0000 0.0000
# * SG: No. 221
# * DFT formation energy: 1.276 eV/atom
# * ΔE to the lowest computed polymorph: 0 meV/atom
# * DFT total energy: -6.107 eV per atom
# * size of the total moment: 12.4 μB per formula unit

---

No. 2
# Cr2AgPdS | Alexandria via LeMat-Bulk | GGA-PBE | optimized geometry
data_Cr2AgPdS
_cell_length_a 4.9709
_cell_length_b 4.9709
_cell_length_c 4.8741
_cell_angle_alpha 90.00
_cell_angle_beta 90.00
_cell_angle_gamma 90.00
_symmetry_space_group_name_H-M 'P 1'
_symmetry_Int_Tables_number 1
loop_
_symmetry_equiv_pos_as_xyz
'x,y,z'
loop_
_atom_site_label
_atom_site_fract_x
_atom_site_fract_y
_atom_site_fract_z
Cr1 0.0000 0.5000 0.0000
Cr2 0.5000 0.0000 0.0000
Ag1 0.0000 0.0000 0.0000
Pd1 0.0000 0.0000 0.5000
S1 0.5000 0.5000 0.5000
# * SG: No. 123
# * DFT total energy: -4.949 eV per atom
# * E_form (uncorrected): 1335 meV/atom
# * size of the total moment: 9.1 μB per formula unit

---

No. 3
# Sr2CrAgPd | Alexandria via LeMat-Bulk | GGA-PBE | optimized geometry
data_Sr2CrAgPd
_cell_length_a 5.8854
_cell_length_b 5.8854
_cell_length_c 4.9622
_cell_angle_alpha 90.00
_cell_angle_beta 90.00
_cell_angle_gamma 90.00
_symmetry_space_group_name_H-M 'P 1'
_symmetry_Int_Tables_number 1
loop_
_symmetry_equiv_pos_as_xyz
'x,y,z'
loop_
_atom_site_label
_atom_site_fract_x
_atom_site_fract_y
_atom_site_fract_z
Sr1 0.0000 0.5000 0.0000
Sr2 0.5000 0.0000 0.0000
Cr1 0.0000 0.0000 0.5000
Ag1 0.0000 0.0000 0.0000
Pd1 0.5000 0.5000 0.5000
# * SG: No. 123
# * DFT formation energy: 0.484 eV/atom
# * DFT total energy: -3.722 eV per atom
# * size of the total moment: 4.5 μB per formula unit

---

No. 4
# Cr2AgPt | Alexandria via LeMat-Bulk | GGA-PBE | optimized geometry
data_Cr2AgPt
_cell_length_a 4.3725
_cell_length_b 4.3725
_cell_length_c 3.3340
_cell_angle_alpha 90.00
_cell_angle_beta 90.00
_cell_angle_gamma 90.00
_symmetry_space_group_name_H-M 'P 1'
_symmetry_Int_Tables_number 1
loop_
_symmetry_equiv_pos_as_xyz
'x,y,z'
loop_
_atom_site_label
_atom_site_fract_x
_atom_site_fract_y
_atom_site_fract_z
Cr1 0.0000 0.5000 0.0000
Cr2 0.5000 0.0000 0.0000
Ag1 0.0000 0.0000 0.5000
Pt1 0.5000 0.5000 0.5000
# * SG: No. 123
# * DFT formation energy: 0.269 eV/atom
# * DFT total energy: -6.766 eV per atom
# * size of the total moment: 7.6 μB per formula unit

---

No. 5
# Cr2AgPt | Alexandria via LeMat-Bulk | GGA-PBE | optimized geometry
data_Cr2AgPt
_cell_length_a 8.7249
_cell_length_b 8.7249
_cell_length_c 8.7249
_cell_angle_alpha 18.51
_cell_angle_beta 18.51
_cell_angle_gamma 18.51
_symmetry_space_group_name_H-M 'P 1'
_symmetry_Int_Tables_number 1
loop_
_symmetry_equiv_pos_as_xyz
'x,y,z'
loop_
_atom_site_label
_atom_site_fract_x
_atom_site_fract_y
_atom_site_fract_z
Cr1 0.0000 0.0000 0.0000
Cr2 0.2736 0.2736 0.2736
Ag1 0.7597 0.7597 0.7597
Pt1 0.5223 0.5223 0.5223
# * SG: No. 160
# * DFT formation energy: 0.168 eV/atom
# * DFT total energy: -6.867 eV per atom
# * size of the total moment: 0.0 μB per formula unit

---

No. 6
# Cr2AgPt | Alexandria via LeMat-Bulk | GGA-PBE | optimized geometry
data_Cr2AgPt
_cell_length_a 4.7867
_cell_length_b 4.7867
_cell_length_c 2.6811
_cell_angle_alpha 90.00
_cell_angle_beta 90.00
_cell_angle_gamma 111.59
_symmetry_space_group_name_H-M 'P 1'
_symmetry_Int_Tables_number 1
loop_
_symmetry_equiv_pos_as_xyz
'x,y,z'
loop_
_atom_site_label
_atom_site_fract_x
_atom_site_fract_y
_atom_site_fract_z
Cr1 0.0000 0.5000 0.0000
Cr2 0.5000 0.0000 0.0000
Ag1 0.0000 0.0000 0.5000
Pt1 0.5000 0.5000 0.5000
# * SG: No. 65
# * DFT formation energy: 0.342 eV/atom
# * DFT total energy: -6.693 eV per atom
# * size of the total moment: 2.5 μB per formula unit

---

No. 7
# CrAgPt2 | Alexandria via LeMat-Bulk | GGA-PBE | optimized geometry
data_CrAgPt2
_cell_length_a 4.8920
_cell_length_b 4.8920
_cell_length_c 4.8920
_cell_angle_alpha 132.45
_cell_angle_beta 132.45
_cell_angle_gamma 69.52
_symmetry_space_group_name_H-M 'P 1'
_symmetry_Int_Tables_number 1
loop_
_symmetry_equiv_pos_as_xyz
'x,y,z'
loop_
_atom_site_label
_atom_site_fract_x
_atom_site_fract_y
_atom_site_fract_z
Cr1 0.0000 0.0000 0.0000
Ag1 0.2500 0.7500 0.5000
Pt1 0.5000 0.5000 0.0000
Pt2 0.7500 0.2500 0.5000
# * SG: No. 119
# * DFT formation energy: -0.016 eV/atom
# * ΔE to the lowest computed polymorph: 123 meV/atom
# * DFT total energy: -6.155 eV per atom
# * size of the total moment: 2.9 μB per formula unit

---

No. 8
# CrAgPt2 | Alexandria via LeMat-Bulk | GGA-PBE | optimized geometry
data_CrAgPt2
_cell_length_a 4.7997
_cell_length_b 4.7997
_cell_length_c 4.7997
_cell_angle_alpha 130.67
_cell_angle_beta 130.67
_cell_angle_gamma 72.34
_symmetry_space_group_name_H-M 'P 1'
_symmetry_Int_Tables_number 1
loop_
_symmetry_equiv_pos_as_xyz
'x,y,z'
loop_
_atom_site_label
_atom_site_fract_x
_atom_site_fract_y
_atom_site_fract_z
Cr1 0.0000 0.0000 0.0000
Ag1 0.5000 0.5000 0.0000
Pt1 0.2500 0.7500 0.5000
Pt2 0.7500 0.2500 0.5000
# * SG: No. 139
# * DFT formation energy: -0.065 eV/atom
# * ΔE to the lowest computed polymorph: 73 meV/atom
# * DFT total energy: -6.204 eV per atom
# * size of the total moment: 2.9 μB per formula unit